Entry 1:
This record from Alexandria describes an optimized crystal structure of TaAgHg3. The functional is PBE.

abc: 5.4059 5.4059 5.4059
angles: 90.00 90.00 90.00
Closest atoms and distances in Å follow each position.
Space group Pm-3m (No. 221)
One atom of each set of equivalent atoms:
Ta: 0.0000 0.0000 0.0000 (multiplicity 1)  6 Hg 2.70
Ag: 0.5000 0.5000 0.5000 (multiplicity 1)  12 Hg 3.82
Hg: 0.0000 0.0000 0.5000 (multiplicity 3)  2 Ta 2.70

Computed properties:
**Excess energy over the best structure of this formula in the dataset**: 0.0000 eV per atom

Entry 2:
This record from Alexandria describes an optimized crystal structure of Y2Ir2W. The functional is PBE.

abc: 6.7051 6.7051 4.6261
angles: 90.00 90.00 90.00
Closest atoms and distances in Å follow each position.
Space group P4/mbm (No. 127)
One atom of each set of equivalent atoms:
Y: 0.1770 0.3230 0.0000 (multiplicity 4)  6 Ir 2.89-3.15
Ir: 0.1403 0.6403 0.5000 (multiplicity 4)  2 W 2.59, 1 Ir 2.66, 2 Y 2.89
W: 0.0000 0.0000 0.5000 (multiplicity 2)  4 Ir 2.59

Computed properties:
**E_tot**: -91.517 eV for the cell shown